No. 1
A relaxed structure of Li4SmSn2. Source: Alexandria, functional PBE. Values from VASP.

The structure in Quantum ESPRESSO input format:
```
&SYSTEM
  ibrav = 0, nat = 14, ntyp = 3
/
ATOMIC_SPECIES
Li 6.94 Li.upf
Sm 150.36 Sm.upf
Sn 118.71 Sn.upf
ATOMIC_POSITIONS crystal
Li 0.000 0.893 0.645
Li 0.500 0.145 0.607
Li 0.000 0.107 0.355
Li 0.500 0.393 0.855
Li 0.000 0.645 0.893
Li 0.500 0.855 0.393
Li 0.000 0.355 0.107
Li 0.500 0.607 0.145
Sm 0.000 0.500 0.500
Sm 0.500 0.000 0.000
Sn 0.500 0.709 0.709
Sn 0.000 0.209 0.791
Sn 0.500 0.291 0.291
Sn 0.000 0.791 0.209
CELL_PARAMETERS angstrom
4.659 0.000 0.000
0.000 8.015 0.000
0.000 0.000 8.015
```

## Properties
* E_form: -3.292 eV per formula unit
* DOS at the Fermi energy: 2.84 states/eV/f.u.
* calculated total energy: -3.38 eV per atom
* symmetry: No. 136
* total moment: 0.00 μB/cell


No. 2
A relaxed structure of PmSm12Dy3. Source: Alexandria, functional PBE. Values from VASP.

The structure in Quantum ESPRESSO input format:
```
&SYSTEM
  ibrav = 0, nat = 16, ntyp = 3
/
ATOMIC_SPECIES
Sm 150.36 Sm.upf
Dy 162.50 Dy.upf
Pm 145.00 Pm.upf
ATOMIC_POSITIONS crystal
Sm 0.500 0.500 0.251
Sm 0.500 0.500 0.749
Sm 0.000 0.500 0.126
Sm 0.500 0.000 0.375
Sm 0.000 0.500 0.874
Sm 0.500 0.500 0.500
Sm 0.000 0.500 0.375
Sm 0.500 0.000 0.874
Sm 0.000 0.500 0.625
Sm 0.500 0.500 0.000
Sm 0.500 0.000 0.126
Sm 0.500 0.000 0.625
Dy 0.000 0.000 0.251
Dy 0.000 0.000 0.749
Dy 0.000 0.000 0.500
Pm 0.000 0.000 0.000
CELL_PARAMETERS angstrom
-0.875 -0.299 5.024
4.441 -2.446 0.628
9.466 17.886 2.714
```

## Properties
* E_form: 0.251 eV per formula unit
* DOS at the Fermi energy: 23.16 states/eV/f.u.
* calculated total energy: -4.68 eV per atom
* symmetry: No. 123
* total moment: 0.00 μB/cell


No. 3
A relaxed structure of Pr2CdIr. Source: Alexandria, functional PBE. Values from VASP.

The structure in Quantum ESPRESSO input format:
```
&SYSTEM
  ibrav = 0, nat = 8, ntyp = 3
/
ATOMIC_SPECIES
Cd 112.41 Cd.upf
Pr 140.91 Pr.upf
Ir 192.22 Ir.upf
ATOMIC_POSITIONS crystal
Cd 0.995 0.989 0.750
Cd 0.005 0.011 0.250
Pr 0.642 0.283 0.002
Pr 0.358 0.717 0.502
Pr 0.358 0.717 0.998
Pr 0.642 0.283 0.498
Ir 0.202 0.403 0.250
Ir 0.798 0.597 0.750
CELL_PARAMETERS angstrom
-1.202 3.390 -1.909
-0.105 -5.512 -5.377
-7.143 -1.556 1.734
```

## Properties
* E_form: -1.944 eV per formula unit
* DOS at the Fermi energy: 2.51 states/eV/f.u.
* calculated total energy: -5.32 eV per atom
* symmetry: No. 63
* total moment: 0.00 μB/cell


No. 4
A relaxed structure of TbHoInOs. Source: Alexandria, functional PBE. Values from VASP.

The structure in Quantum ESPRESSO input format:
```
&SYSTEM
  ibrav = 0, nat = 4, ntyp = 4
/
ATOMIC_SPECIES
Ho 164.93 Ho.upf
Os 190.23 Os.upf
Tb 158.93 Tb.upf
In 114.82 In.upf
ATOMIC_POSITIONS crystal
Ho 0.000 0.000 0.000
Os 0.250 0.250 0.250
Tb 0.500 0.500 0.500
In 0.750 0.750 0.750
CELL_PARAMETERS angstrom
-4.152 2.521 1.347
-3.309 -2.103 3.168
-0.464 1.765 4.699
```

## Properties
* E_form: -0.963 eV per formula unit
* DOS at the Fermi energy: 2.52 states/eV/f.u.
* calculated total energy: -6.03 eV per atom
* symmetry: No. 216
* total moment: 0.00 μB/cell


DOS at the Fermi energy of number 1 (Li4SmSn2)?
2.84 states/eV/f.u.


Look up the total moment of the third one.
0.00 μB/cell